Computed, not measured: a relaxed structure of CsAlMoO4 at the PBE with a Hubbard U level of DFT.

Structure (POSCAR):
```
CsAlMoO4
1.0
5.424 0.000 0.000
0.000 5.584 0.000
-0.203 0.000 7.925
Cs Al Mo O
2 2 2 8
direct
0.243 0.250 0.107 Cs
0.757 0.750 0.893 Cs
0.335 0.250 0.640 Al
0.665 0.750 0.360 Al
0.181 0.750 0.462 Mo
0.819 0.250 0.538 Mo
0.102 0.019 0.648 O
0.102 0.481 0.648 O
0.385 0.750 0.241 O
0.476 0.250 0.439 O
0.524 0.750 0.561 O
0.615 0.250 0.759 O
0.898 0.519 0.352 O
0.898 0.981 0.352 O
```

Its calculated total energy is -0.2395 hartree per atom. As for the volume: 17.15 A^3/atom. The density of states at the Fermi level is 0.00 states/eV/cell. The calculation puts the magnetization at 2.0 μB per formula unit.